(1)
Sm2HoF11 | GGA-PBE | relaxed

N(E_F)   22.9 states/eV per cell
E_form (uncorrected)   -3.430 eV/atom

Cell and atoms, written as POSCAR:
```
Sm2HoF11
1.0
-7.3033 -4.4558 0.4012
-0.7068 -7.4774 -4.4924
-0.7390 -6.4962 5.8177
F Sm Ho
22 4 2
Cartesian
-2.9675 -6.5164 1.3809 F
-1.3874 -9.0839 1.6302 F
-7.3373 -15.8763 0.7180 F
-1.4118 -2.5531 1.0086 F
-2.3019 -6.2074 -1.1672 F
-7.2323 -11.2688 -2.1788 F
-4.4377 -13.9590 2.0846 F
-0.8541 -4.9872 2.2227 F
-6.4471 -12.2219 2.8937 F
-5.9483 -8.5957 -2.6516 F
-4.5110 -7.0547 4.1083 F
-7.8950 -13.4422 -0.4962 F
-4.3745 -9.2147 0.8633 F
0.0000 0.0000 0.0000 F
-2.8007 -9.8337 4.3781 F
-5.1645 -9.5068 2.8618 F
-7.3617 -9.3454 0.0963 F
-1.5168 -7.1605 3.9053 F
-4.3114 -4.4703 -0.3581 F
-5.7815 -11.9130 0.3456 F
-4.2381 -11.3746 -2.3818 F
-3.5845 -8.9225 -1.1352 F
-5.5574 -10.1269 -1.0341 Sm
-1.9019 -8.0160 -2.4644 Sm
-6.8472 -10.4134 4.1909 Sm
-3.1917 -8.3025 2.7606 Sm
-2.1873 -4.6073 0.4316 Ho
-6.5618 -13.8220 1.2949 Ho
```


(2)
SmHoF6 | GGA-PBE | relaxed

N(E_F)   0.0 states/eV per cell
E_form (uncorrected)   -4.078 eV/atom

Cell and atoms, written as POSCAR:
```
SmHoF6
1.0
-0.8547 -4.0532 -4.3615
4.2684 -1.1034 0.6940
0.3325 -3.5301 2.7104
F Ho Sm
6 1 1
Cartesian
0.9857 -4.2452 0.7210 F
-0.1424 -5.2125 -1.4813 F
2.4192 -1.9943 -0.5631 F
2.6835 -4.3639 -1.7352 F
1.2761 -7.3118 -0.9332 F
4.0754 -2.9914 1.1639 F
4.2163 -4.2462 3.1198 Ho
0.6622 -3.1238 -1.3746 Sm
```


(3)
SmHo3F | GGA-PBE | relaxed

N(E_F)   5.5 states/eV per cell
E_form (uncorrected)   -0.914 eV/atom

Cell and atoms, written as POSCAR:
```
SmHo3F
1.0
5.0391 0.0000 0.0000
0.0000 5.0391 0.0000
0.0000 0.0000 5.0391
Ho F Sm
3 1 1
Cartesian
2.5195 0.0000 0.0000 Ho
0.0000 2.5195 0.0000 Ho
0.0000 0.0000 2.5195 Ho
0.0000 0.0000 0.0000 F
2.5195 2.5195 2.5195 Sm
```


(4)
HoSnF6 | GGA-PBE | relaxed

N(E_F)   3.7 states/eV per cell
E_form (uncorrected)   -3.089 eV/atom

Cell and atoms, written as POSCAR:
```
HoSnF6
1.0
5.1392 -0.1063 -0.0215
-2.0106 4.7308 -0.0215
-0.6024 -0.8904 5.4688
F Sn Ho
6 1 1
Cartesian
-0.4432 1.7143 1.3298 F
1.7561 0.2264 1.3298 F
2.2153 3.2746 1.3817 F
0.3109 0.4595 4.0440 F
2.9694 2.0198 4.0959 F
0.7701 3.5077 4.0959 F
1.2631 1.8670 2.7128 Sn
0.0000 0.0000 0.0000 Ho
```


(5)
Ho2SnF8 | GGA-PBE | relaxed

N(E_F)   0.0 states/eV per cell
E_form (uncorrected)   -3.604 eV/atom

Cell and atoms, written as POSCAR:
```
Ho2SnF8
1.0
4.2402 0.0043 -0.4941
-0.9732 5.6786 -2.2940
0.0224 -0.0201 6.2012
Ho F Sn
2 8 1
Cartesian
-0.2970 1.8080 3.4761 Ho
-0.6538 3.8506 0.4312 Ho
0.6295 3.5070 2.2787 F
1.8954 1.3966 3.8456 F
3.2829 3.7988 3.8755 F
1.3940 4.2663 -0.4324 F
0.2806 0.2949 1.8769 F
0.0065 1.8640 -0.4623 F
2.6598 2.1559 1.1345 F
3.0088 5.3680 1.5363 F
2.1201 0.0021 -0.2470 Sn
```


(6)
HoTl2SnF6 | GGA-PBE | relaxed

N(E_F)   3.3 states/eV per cell
E_form (uncorrected)   -2.587 eV/atom

Cell and atoms, written as POSCAR:
```
HoTl2SnF6
1.0
-5.2924 -2.1205 1.6022
1.1204 -6.5134 -4.9195
3.7386 -4.3430 6.6017
F Tl Sn Ho
12 4 2 2
Cartesian
0.8813 -5.0773 1.9487 F
3.7453 -8.6928 0.8670 F
1.8601 -6.5028 -2.4620 F
-1.6273 -6.0824 2.7082 F
-0.5378 -4.6679 -2.7663 F
0.3368 -5.3954 4.9172 F
-1.3554 -0.7356 0.2837 F
-3.3216 -5.7832 -1.9235 F
-1.5166 -3.2424 1.6444 F
-1.0738 -10.1206 -0.2618 F
-3.8751 -1.7451 1.0464 F
1.6989 -9.0096 -1.1012 F
0.6332 -7.9554 2.5081 Tl
-0.8603 -6.2204 -0.1292 Tl
1.2039 -3.5248 -0.6883 Tl
3.4490 -6.1328 3.2760 Tl
2.7397 -7.2312 -0.5207 Sn
-2.3961 -2.5140 -0.2969 Sn
-0.5954 -4.2866 3.3052 Ho
0.9390 -5.4586 -4.1228 Ho
```